Below is an optimized crystal structure of BaCoO3, with properties calculated at the PBE with a Hubbard U level.

Cell and atoms, written as POSCAR:
```
BaCoO3
1.0
3.9794 0.0000 0.0000
0.0000 3.9794 0.0000
0.0000 0.0000 3.9794
O Ba Co
3 1 1
direct
0.5000 0.5000 0.0000
0.5000 0.0000 0.5000
0.0000 0.5000 0.5000
0.0000 0.0000 0.0000
0.5000 0.5000 0.5000
```

Summary:
The value obtained for the magnetic moment is 0.7302 μB/atom. Its total energy is -5.8607 eV per atom.